# 1
# AlOsSe2

A PBEsol-optimized structure of AlOsSe2 (meta-GGA SCAN, Alexandria via LeMat-Bulk).

Properties
D(E_F) in states/eV per cell: 9.99
E_form (uncorrected) in eV per atom: 0.7679

```
data_AlOsSe2
_cell_length_a 6.363
_cell_length_b 6.363
_cell_length_c 6.363
_cell_angle_alpha 90.00
_cell_angle_beta 90.00
_cell_angle_gamma 90.00
_symmetry_space_group_name_H-M 'F -4 3 m'
_symmetry_Int_Tables_number 216
_symmetry_space_group_name_Hall 'F -4 2 3'
loop_
_atom_site_label
_atom_site_type_symbol
_atom_site_fract_x
_atom_site_fract_y
_atom_site_fract_z
Al1 Al 0.000 0.000 0.000
Os1 Os 0.250 0.250 0.750
Se1 Se 0.000 0.000 0.500
Se2 Se 0.250 0.250 0.250
```

=====

# 2
# Al4OsSe

A PBEsol-optimized structure of Al4OsSe (meta-GGA SCAN, Alexandria via LeMat-Bulk).

Properties
D(E_F) in states/eV per cell: 15.75
E_form (uncorrected) in eV per atom: 0.4226

```
data_Al4OsSe
_cell_length_a 7.206
_cell_length_b 7.206
_cell_length_c 7.206
_cell_angle_alpha 90.00
_cell_angle_beta 90.00
_cell_angle_gamma 90.00
_symmetry_space_group_name_H-M 'F -4 3 m'
_symmetry_Int_Tables_number 216
_symmetry_space_group_name_Hall 'F -4 2 3'
loop_
_atom_site_label
_atom_site_type_symbol
_atom_site_fract_x
_atom_site_fract_y
_atom_site_fract_z
Al1 Al 0.125 0.125 0.125
Os1 Os 0.000 0.000 0.500
Se1 Se 0.250 0.250 0.750
```

=====

# 3
# TiAl2OsSe

A PBEsol-optimized structure of TiAl2OsSe (meta-GGA SCAN, Alexandria via LeMat-Bulk).

Properties
D(E_F) in states/eV per cell: 2.80
E_form (uncorrected) in eV per atom: 1.2055

```
data_TiAl2OsSe
_cell_length_a 4.919
_cell_length_b 4.919
_cell_length_c 4.463
_cell_angle_alpha 90.00
_cell_angle_beta 90.00
_cell_angle_gamma 90.00
_symmetry_space_group_name_H-M 'P 4/m m m'
_symmetry_Int_Tables_number 123
_symmetry_space_group_name_Hall '-P 4 2'
loop_
_atom_site_label
_atom_site_type_symbol
_atom_site_fract_x
_atom_site_fract_y
_atom_site_fract_z
Ti1 Ti 0.000 0.000 0.000
Al1 Al 0.000 0.500 0.000
Os1 Os 0.000 0.000 0.500
Se1 Se 0.500 0.500 0.500
```

=====

# 4
# Al2SiOs

A PBEsol-optimized structure of Al2SiOs (meta-GGA SCAN, Alexandria via LeMat-Bulk).

Properties
D(E_F) in states/eV per cell: 1.25
E_form (uncorrected) in eV per atom: -0.2937

```
data_Al2SiOs
_cell_length_a 3.189
_cell_length_b 3.189
_cell_length_c 5.351
_cell_angle_alpha 90.00
_cell_angle_beta 90.00
_cell_angle_gamma 90.00
_symmetry_space_group_name_H-M 'P 4/m m m'
_symmetry_Int_Tables_number 123
_symmetry_space_group_name_Hall '-P 4 2'
loop_
_atom_site_label
_atom_site_type_symbol
_atom_site_fract_x
_atom_site_fract_y
_atom_site_fract_z
Al1 Al 0.000 0.000 0.248
Si1 Si 0.500 0.500 0.000
Os1 Os 0.500 0.500 0.500
```

=====

# 5
# AlSiOs2

A PBEsol-optimized structure of AlSiOs2 (meta-GGA SCAN, Alexandria via LeMat-Bulk).

Properties
D(E_F) in states/eV per cell: 4.10
E_form (uncorrected) in eV per atom: -0.0894

```
data_AlSiOs2
_cell_length_a 5.606
_cell_length_b 7.943
_cell_length_c 2.805
_cell_angle_alpha 90.00
_cell_angle_beta 118.03
_cell_angle_gamma 90.00
_symmetry_space_group_name_H-M 'C 1 2/m 1'
_symmetry_Int_Tables_number 12
loop_
_symmetry_equiv_pos_as_xyz
'x,y,z'
'-x,-y,-z'
'-x,y,-z'
'x,-y,z'
'x+1/2,y+1/2,z'
'-x+1/2,-y+1/2,-z'
'-x+1/2,y+1/2,-z'
'x+1/2,-y+1/2,z'
loop_
_atom_site_label
_atom_site_type_symbol
_atom_site_fract_x
_atom_site_fract_y
_atom_site_fract_z
Al1 Al 0.000 0.000 0.000
Si1 Si 0.000 0.500 0.000
Os1 Os 0.250 0.250 0.500
```

=====

# 6
# AlSiOs2

A PBEsol-optimized structure of AlSiOs2 (meta-GGA SCAN, Alexandria via LeMat-Bulk).

Properties
D(E_F) in states/eV per cell: 2.07
E_form (uncorrected) in eV per atom: -0.6001

```
data_AlSiOs2
_cell_length_a 2.951
_cell_length_b 2.951
_cell_length_c 5.951
_cell_angle_alpha 90.00
_cell_angle_beta 90.00
_cell_angle_gamma 90.00
_symmetry_space_group_name_H-M 'P 4/m m m'
_symmetry_Int_Tables_number 123
_symmetry_space_group_name_Hall '-P 4 2'
loop_
_atom_site_label
_atom_site_type_symbol
_atom_site_fract_x
_atom_site_fract_y
_atom_site_fract_z
Al1 Al 0.000 0.000 0.000
Si1 Si 0.000 0.000 0.500
Os1 Os 0.500 0.500 0.261
```

=====

# 7
# AlSiOs2

A PBEsol-optimized structure of AlSiOs2 (meta-GGA SCAN, Alexandria via LeMat-Bulk).

Properties
D(E_F) in states/eV per cell: 3.20
E_form (uncorrected) in eV per atom: -0.2989

```
data_AlSiOs2
_cell_length_a 2.916
_cell_length_b 4.032
_cell_length_c 9.142
_cell_angle_alpha 90.00
_cell_angle_beta 90.00
_cell_angle_gamma 90.00
_symmetry_space_group_name_H-M 'I m m 2'
_symmetry_Int_Tables_number 44
loop_
_symmetry_equiv_pos_as_xyz
'x,y,z'
'-x,-y,z'
'-x,y,z'
'x,-y,z'
'x+1/2,y+1/2,z+1/2'
'-x+1/2,-y+1/2,z+1/2'
'-x+1/2,y+1/2,z+1/2'
'x+1/2,-y+1/2,z+1/2'
loop_
_atom_site_label
_atom_site_type_symbol
_atom_site_fract_x
_atom_site_fract_y
_atom_site_fract_z
Al1 Al 0.000 0.000 0.000
Si1 Si 0.000 0.500 0.242
Os1 Os 0.000 0.000 0.526
Os2 Os 0.000 0.500 0.768
```

=====

# 8
# AlSi4Os

A PBEsol-optimized structure of AlSi4Os (meta-GGA SCAN, Alexandria via LeMat-Bulk).

Properties
D(E_F) in states/eV per cell: 14.71
E_form (uncorrected) in eV per atom: 0.6925

```
data_AlSi4Os
_cell_length_a 6.914
_cell_length_b 6.914
_cell_length_c 6.914
_cell_angle_alpha 90.00
_cell_angle_beta 90.00
_cell_angle_gamma 90.00
_symmetry_space_group_name_H-M 'F -4 3 m'
_symmetry_Int_Tables_number 216
_symmetry_space_group_name_Hall 'F -4 2 3'
loop_
_atom_site_label
_atom_site_type_symbol
_atom_site_fract_x
_atom_site_fract_y
_atom_site_fract_z
Al1 Al 0.000 0.000 0.000
Si1 Si 0.126 0.126 0.374
Os1 Os 0.250 0.250 0.750
```

=====

# 9
# AlZnSi2Os

A PBEsol-optimized structure of AlZnSi2Os (meta-GGA SCAN, Alexandria via LeMat-Bulk).

Properties
D(E_F) in states/eV per cell: 3.27
E_form (uncorrected) in eV per atom: 1.4597

```
data_AlZnSi2Os
_cell_length_a 4.549
_cell_length_b 4.549
_cell_length_c 4.535
_cell_angle_alpha 90.00
_cell_angle_beta 90.00
_cell_angle_gamma 90.00
_symmetry_space_group_name_H-M 'P 4/m m m'
_symmetry_Int_Tables_number 123
_symmetry_space_group_name_Hall '-P 4 2'
loop_
_atom_site_label
_atom_site_type_symbol
_atom_site_fract_x
_atom_site_fract_y
_atom_site_fract_z
Al1 Al 0.000 0.000 0.000
Zn1 Zn 0.500 0.500 0.500
Si1 Si 0.000 0.500 0.000
Os1 Os 0.000 0.000 0.500
```

=====

# 10
# Sm3Al12Os4

A PBEsol-optimized structure of Sm3Al12Os4 (meta-GGA SCAN, Alexandria via LeMat-Bulk).

Properties
D(E_F) in states/eV per cell: 20.24
Formation energy from the elements in eV/atom: -0.703

```
data_Sm3Al12Os4
_cell_length_a 8.7925
_cell_length_b 8.7925
_cell_length_c 9.5787
_cell_angle_alpha 90.00
_cell_angle_beta 90.00
_cell_angle_gamma 120.00
_symmetry_space_group_name_H-M 'P 63/m m c'
_symmetry_Int_Tables_number 194
_symmetry_space_group_name_Hall '-P 6c 2c'
loop_
_atom_site_label
_atom_site_type_symbol
_atom_site_fract_x
_atom_site_fract_y
_atom_site_fract_z
Sm1 Sm 0.1924 0.3848 0.2500
Al1 Al 0.0000 0.0000 0.2500
Al2 Al 0.1231 0.5615 0.7500
Al3 Al 0.1632 0.3265 0.5744
Al4 Al 0.3333 0.6667 0.0149
Os1 Os 0.0000 0.0000 0.0000
Os2 Os 0.0000 0.5000 0.0000
```

=====

# 11
# Al3SnOs

A PBEsol-optimized structure of Al3SnOs (meta-GGA SCAN, Alexandria via LeMat-Bulk).

Properties
D(E_F) in states/eV per cell: 3.85
Formation energy from the elements in eV/atom: 0.146

```
data_Al3SnOs
_cell_length_a 4.749
_cell_length_b 4.749
_cell_length_c 4.749
_cell_angle_alpha 90.00
_cell_angle_beta 90.00
_cell_angle_gamma 90.00
_symmetry_space_group_name_H-M 'P m -3 m'
_symmetry_Int_Tables_number 221
_symmetry_space_group_name_Hall '-P 4 2 3'
loop_
_atom_site_label
_atom_site_type_symbol
_atom_site_fract_x
_atom_site_fract_y
_atom_site_fract_z
Al1 Al 0.000 0.000 0.500
Sn1 Sn 0.500 0.500 0.500
Os1 Os 0.000 0.000 0.000
```

=====

# 12
# Ta2AlOs

A PBEsol-optimized structure of Ta2AlOs (meta-GGA SCAN, Alexandria via LeMat-Bulk).

Properties
D(E_F) in states/eV per cell: 6.14
Formation energy from the elements in eV/atom: -0.110

```
data_Ta2AlOs
_cell_length_a 3.137
_cell_length_b 4.592
_cell_length_c 8.918
_cell_angle_alpha 90.00
_cell_angle_beta 90.00
_cell_angle_gamma 90.00
_symmetry_space_group_name_H-M 'C m m m'
_symmetry_Int_Tables_number 65
_symmetry_space_group_name_Hall '-C 2 2'
loop_
_atom_site_label
_atom_site_type_symbol
_atom_site_fract_x
_atom_site_fract_y
_atom_site_fract_z
Ta1 Ta 0.000 0.000 0.245
Al1 Al 0.000 0.500 0.500
Os1 Os 0.000 0.500 0.000
```

=====

| no. | calculated volume (Å³/cell) |
| --- | --- |
| 1 | 257.6 |
| 2 | 374.1 |
| 3 | 108.0 |
| 4 | 54.4 |
| 5 | 110.3 |
| 6 | 51.8 |
| 7 | 107.5 |
| 8 | 330.5 |
| 9 | 93.9 |
| 10 | 641.3 |
| 11 | 107.1 |
| 12 | 128.5 |